The following is a PBE-GGA calculation of a relaxed structure of Ga2SbI8, from the Alexandria database.

Cell and atoms, written as extended XYZ:
```
11
Lattice="-5.592 -5.572 0.200 6.087 -6.218 1.250 1.207 -1.055 8.643" Properties=species:S:1:pos:R:3 pbc="T T T"
I -1.505 -7.560 8.508
I 0.309 -2.219 5.976
I 1.393 -10.626 4.117
I 2.529 -9.745 8.475
I -1.271 -6.755 3.878
I 2.973 -6.090 6.215
I -0.828 -3.100 1.618
I 3.207 -5.285 1.585
Ga -2.228 -5.178 2.145
Ga 3.930 -7.667 7.948
Sb 0.000 0.000 0.000
```

## Properties
Crystal system: monoclinic
Uncorrected formation energy: -0.370 eV per atom
Symmetry: No. 12